<1>
VASP calculation (PBE) on YZnRu2O after structural relaxation.

abc: 4.916 4.916 5.552
angles: 90.00 90.00 90.00
Space group P4/mmm (No. 123)
One atom of each set of equivalent atoms:
1 Y 0.000 0.000 0.000 [1 per cell]
2 Zn 0.000 0.000 0.500 [1 per cell]
3 Ru 0.000 0.500 0.000 [2 per cell]
4 O 0.500 0.500 0.500 [1 per cell]

Values from the calculation:
Size of the total moment in μB per formula unit: 4.202

---

<2>
VASP calculation (PBE) on YZnRu2O after structural relaxation.

abc: 4.857 4.857 3.769
angles: 90.00 90.00 90.00
Space group P4/mmm (No. 123)
One atom of each set of equivalent atoms:
1 Y 0.000 0.000 0.000 [1 per cell]
2 Zn 0.500 0.500 0.500 [1 per cell]
3 Ru 0.000 0.500 0.500 [2 per cell]
4 O 0.500 0.500 0.000 [1 per cell]

Values from the calculation:
Size of the total moment in μB per formula unit: 2.857

---

Most stable to least stable: <2>, <1>